This record from Alexandria describes CsAg2GeO4 after structural relaxation. The functional is GGA-PBE.

a = 5.758 Å, b = 5.758 Å, c = 5.758 Å
α = 119.53°, β = 112.99°, γ = 96.69°
Positions (direct):
Cs: 0.000 0.000 0.000
Ag: 0.317 0.817 0.500
Ag: 0.683 0.183 0.500
Ge: 0.500 0.500 0.000
O: 0.201 0.540 0.018
O: 0.478 0.460 0.661
O: 0.522 0.183 0.982
O: 0.799 0.817 0.339

Results
For the formation energy without anion corrections, the calculation gives -21.41 kcal/mol of atoms. For the total magnetization, the calculation gives 0.000 μB per atom. The total energy comes out at -4.80 eV per atom. Its space group is I222.